(1)
# PBE-GGA NaTbSn2Te4, optimized geometry
data_NaTbSn2Te4
_chemical_formula_sum 'Na1 Tb1 Sn2 Te4'
_cell_length_a 4.4889
_cell_length_b 7.8618
_cell_length_c 7.7770
_cell_angle_alpha 71.34
_cell_angle_beta 90.00
_cell_angle_gamma 90.00
_space_group_name_H-M_alt 'P 1'
_space_group_IT_number 1
loop_
_space_group_symop_operation_xyz
'x,y,z'
loop_
_atom_site_label
_atom_site_fract_x
_atom_site_fract_y
_atom_site_fract_z
Sn1 0.5000 0.0000 0.5000
Te1 0.5000 0.2570 0.7400
Tb1 0.0000 0.5000 0.5000
Te2 0.0000 0.2526 0.2596
Te3 0.5000 0.7430 0.2600
Na1 0.5000 0.5000 0.0000
Sn2 0.0000 0.0000 0.0000
Te4 0.0000 0.7474 0.7404
# crystal system = monoclinic
# formation energy from raw total energies = -0.744 eV per atom

=====

(2)
# PBE-GGA Rb2Si2I, optimized geometry
data_Rb2Si2I
_chemical_formula_sum 'Rb4 Si4 I2'
_cell_length_a 10.4035
_cell_length_b 10.4035
_cell_length_c 3.9092
_cell_angle_alpha 90.00
_cell_angle_beta 90.00
_cell_angle_gamma 90.00
_space_group_name_H-M_alt 'P 1'
_space_group_IT_number 1
loop_
_space_group_symop_operation_xyz
'x,y,z'
loop_
_atom_site_label
_atom_site_fract_x
_atom_site_fract_y
_atom_site_fract_z
Rb1 0.7852 0.7148 0.0000
Si1 0.9261 0.4261 0.5000
Rb2 0.7148 0.2148 0.0000
Si2 0.5739 0.9261 0.5000
I1 0.5000 0.5000 0.0000
Rb3 0.2852 0.7852 0.0000
Si3 0.4261 0.0739 0.5000
I2 0.0000 0.0000 0.0000
Si4 0.0739 0.5739 0.5000
Rb4 0.2148 0.2852 0.0000
# crystal system = tetragonal
# energy above the lowest structure with this stoichiometry = 0.219 eV per atom
# formation energy from raw total energies = -0.009 eV per atom

=====

(3)
# PBE-GGA K2DyTmTe4, optimized geometry
data_K2DyTmTe4
_chemical_formula_sum 'K2 Dy1 Tm1 Te4'
_cell_length_a 4.4738
_cell_length_b 7.7465
_cell_length_c 8.6338
_cell_angle_alpha 107.37
_cell_angle_beta 90.00
_cell_angle_gamma 90.00
_space_group_name_H-M_alt 'P 1'
_space_group_IT_number 1
loop_
_space_group_symop_operation_xyz
'x,y,z'
loop_
_atom_site_label
_atom_site_fract_x
_atom_site_fract_y
_atom_site_fract_z
K1 0.0000 0.5000 0.5000
Tm1 0.0000 0.0000 0.0000
K2 0.5000 0.0000 0.5000
Te1 0.5000 0.2330 0.2067
Te2 0.0000 0.7383 0.2078
Dy1 0.5000 0.5000 0.0000
Te3 0.0000 0.2617 0.7922
Te4 0.5000 0.7670 0.7933
# crystal system = monoclinic
# formation energy from raw total energies = -1.384 eV per atom

=====

(4)
# PBE-GGA Ho4ErSc2, optimized geometry
data_Ho4ErSc2
_chemical_formula_sum 'Ho8 Er2 Sc4'
_cell_length_a 7.7861
_cell_length_b 7.4816
_cell_length_c 7.4815
_cell_angle_alpha 89.99
_cell_angle_beta 89.99
_cell_angle_gamma 89.99
_space_group_name_H-M_alt 'P 1'
_space_group_IT_number 1
loop_
_space_group_symop_operation_xyz
'x,y,z'
loop_
_atom_site_label
_atom_site_fract_x
_atom_site_fract_y
_atom_site_fract_z
Er1 0.0000 0.5000 0.0000
Ho1 0.7319 0.7573 0.2573
Ho2 0.2681 0.2427 0.7427
Sc1 0.0000 0.0000 0.0000
Sc2 0.0000 0.0000 0.5000
Sc3 0.5000 0.0000 0.5000
Ho3 0.2680 0.7571 0.7427
Ho4 0.7320 0.2429 0.2573
Ho5 0.2679 0.7571 0.2571
Ho6 0.7320 0.7574 0.7429
Ho7 0.7321 0.2429 0.7429
Ho8 0.2680 0.2426 0.2571
Er2 0.5000 0.5000 0.0000
Sc4 0.0000 0.5000 0.5000
# crystal system = tetragonal
# energy above the lowest structure with this stoichiometry = 0.164 eV per atom

=====

(5)
# PBE-GGA TcSbOs2, optimized geometry
data_TcSbOs2
_chemical_formula_sum 'Tc1 Sb1 Os2'
_cell_length_a 2.9386
_cell_length_b 2.9386
_cell_length_c 7.3578
_cell_angle_alpha 90.00
_cell_angle_beta 90.00
_cell_angle_gamma 90.00
_space_group_name_H-M_alt 'P 1'
_space_group_IT_number 1
loop_
_space_group_symop_operation_xyz
'x,y,z'
loop_
_atom_site_label
_atom_site_fract_x
_atom_site_fract_y
_atom_site_fract_z
Os1 0.0000 0.0000 0.9958
Sb1 0.0000 0.0000 0.4981
Os2 0.5000 0.5000 0.2424
Tc1 0.5000 0.5000 0.7638
# crystal system = tetragonal
# formation energy from raw total energies = 0.432 eV per atom

=====

(6)
# PBE-GGA BaBePPt, optimized geometry
data_BaBePPt
_chemical_formula_sum 'Ba2 Be2 P2 Pt2'
_cell_length_a 3.8375
_cell_length_b 3.8375
_cell_length_c 11.4385
_cell_angle_alpha 90.00
_cell_angle_beta 90.00
_cell_angle_gamma 90.00
_space_group_name_H-M_alt 'P 1'
_space_group_IT_number 1
loop_
_space_group_symop_operation_xyz
'x,y,z'
loop_
_atom_site_label
_atom_site_fract_x
_atom_site_fract_y
_atom_site_fract_z
Be1 0.2500 0.7500 0.0000
Pt1 0.7500 0.2500 0.5000
Ba1 0.7500 0.7500 0.2713
P1 0.2500 0.2500 0.1064
P2 0.7500 0.7500 0.8936
Ba2 0.2500 0.2500 0.7287
Pt2 0.2500 0.7500 0.5000
Be2 0.7500 0.2500 0.0000
# crystal system = tetragonal

=====

Mass density across the listed records, respectively: 5.937, 2.779, 5.350, 6.987, 15.687, 7.342 g cm⁻³.
Energy across the listed records, respectively: -32.48, -28.75, -34.91, -66.73, -35.22, -39.20 eV per cell.